{"formula": "AlO", "functional": "SCAN", "state": "PBEsol geometry", "lattice": [[0.0000, 2.2159, 2.2159], [2.2159, 0.0000, 2.2159], [2.2159, 2.2159, 0.0000]], "species": ["Al", "O"], "frac_coords": [[0.0000, 0.0000, 0.0000], [0.5000, 0.5000, 0.5000]], "n_ef_per_ev_atom": 0.45, "final_energy_ev_per_atom": -8.2088, "raw_formation_energy_ev_per_atom": -1.22}

=====

{"formula": "AlOsPtO2", "functional": "SCAN", "state": "PBEsol geometry", "lattice": [[3.6398, 0.0000, 0.0000], [0.0000, 3.6398, 0.0000], [0.0000, 0.0000, 5.8986]], "species": ["Al", "Os", "Pt", "O", "O"], "frac_coords": [[0.0000, 0.0000, 0.0000], [0.0000, 0.0000, 0.5000], [0.5000, 0.5000, 0.0000], [0.0000, 0.5000, 0.5000], [0.5000, 0.0000, 0.5000]], "n_ef_per_ev_atom": 0.34, "final_energy_ev_per_atom": -32.8873, "raw_formation_energy_ev_per_atom": -0.43}

=====

{"formula": "AlP3O", "functional": "SCAN", "state": "PBEsol geometry", "lattice": [[4.0885, 0.0000, 0.0000], [0.0000, 4.0885, 0.0000], [0.0000, 0.0000, 4.0885]], "species": ["Al", "P", "P", "P", "O"], "frac_coords": [[0.0000, 0.0000, 0.0000], [0.0000, 0.5000, 0.5000], [0.5000, 0.0000, 0.5000], [0.5000, 0.5000, 0.0000], [0.5000, 0.5000, 0.5000]], "n_ef_per_ev_atom": 0.43, "final_energy_ev_per_atom": -8.5385, "raw_formation_energy_ev_per_atom": 0.50}

=====

{"formula": "AlP3O9", "functional": "SCAN", "state": "PBEsol geometry", "lattice": [[6.1218, 0.0000, 0.0000], [0.0000, 15.1713, 0.0000], [-2.1478, 0.0000, 7.9524]], "species": ["Al", "Al", "Al", "Al", "P", "P", "P", "P", "P", "P", "P", "P", "P", "P", "P", "P", "O", "O", "O", "O", "O", "O", "O", "O", "O", "O", "O", "O", "O", "O", "O", "O", "O", "O", "O", "O", "O", "O", "O", "O", "O", "O", "O", "O", "O", "O", "O", "O", "O", "O", "O", "O"], "frac_coords": [[0.1151, 0.1380, 0.3763], [0.1151, 0.3620, 0.8763], [0.8849, 0.6380, 0.1237], [0.8849, 0.8620, 0.6237], [0.1451, 0.0441, 0.7173], [0.1451, 0.4559, 0.2173], [0.2017, 0.1628, 0.0166], [0.2017, 0.3372, 0.5166], [0.4152, 0.6130, 0.2099], [0.4152, 0.8870, 0.7099], [0.5848, 0.1130, 0.2901], [0.5848, 0.3870, 0.7901], [0.7983, 0.6628, 0.4834], [0.7983, 0.8372, 0.9834], [0.8549, 0.5441, 0.7827], [0.8549, 0.9559, 0.2827], [0.0556, 0.0154, 0.3393], [0.0556, 0.4846, 0.8393], [0.0656, 0.1541, 0.1421], [0.0656, 0.3459, 0.6421], [0.1499, 0.0766, 0.9018], [0.1499, 0.4234, 0.4018], [0.1651, 0.1216, 0.6102], [0.1651, 0.3784, 0.1102], [0.1741, 0.2419, 0.9072], [0.1741, 0.2581, 0.4072], [0.1936, 0.6582, 0.1451], [0.1936, 0.8418, 0.6451], [0.3752, 0.5120, 0.2536], [0.3752, 0.9880, 0.7536], [0.4224, 0.1153, 0.3970], [0.4224, 0.3847, 0.8970], [0.4668, 0.1523, 0.1072], [0.4668, 0.3477, 0.6072], [0.5332, 0.6523, 0.3928], [0.5332, 0.8477, 0.8928], [0.5776, 0.6153, 0.1030], [0.5776, 0.8847, 0.6030], [0.6248, 0.0120, 0.2464], [0.6248, 0.4880, 0.7464], [0.8064, 0.1582, 0.3549], [0.8064, 0.3418, 0.8549], [0.8259, 0.7419, 0.5928], [0.8259, 0.7581, 0.0928], [0.8349, 0.6216, 0.8898], [0.8349, 0.8784, 0.3898], [0.8501, 0.5766, 0.5982], [0.8501, 0.9234, 0.0982], [0.9344, 0.6541, 0.3579], [0.9344, 0.8459, 0.8579], [0.9444, 0.5154, 0.1607], [0.9444, 0.9846, 0.6607]], "n_ef_per_ev_atom": 0.00, "final_energy_ev_per_atom": -9.9391, "raw_formation_energy_ev_per_atom": -2.63}

=====

{"formula": "AlP3O9", "functional": "SCAN", "state": "PBEsol geometry", "lattice": [[6.4643, -9.4002, 0.0000], [6.4643, 9.4002, 0.0000], [-5.5407, 0.0000, 7.4441]], "species": ["Al", "Al", "Al", "Al", "Al", "Al", "P", "P", "P", "P", "P", "P", "P", "P", "P", "P", "P", "P", "P", "P", "P", "P", "P", "P", "O", "O", "O", "O", "O", "O", "O", "O", "O", "O", "O", "O", "O", "O", "O", "O", "O", "O", "O", "O", "O", "O", "O", "O", "O", "O", "O", "O", "O", "O", "O", "O", "O", "O", "O", "O", "O", "O", "O", "O", "O", "O", "O", "O", "O", "O", "O", "O", "O", "O", "O", "O", "O", "O"], "frac_coords": [[0.0799, 0.9201, 0.5000], [0.2272, 0.7366, 0.9697], [0.4138, 0.5901, 0.5038], [0.5901, 0.4138, 0.0038], [0.7366, 0.2272, 0.4697], [0.9201, 0.0799, 0.0000], [0.1580, 0.5555, 0.1577], [0.2159, 0.4895, 0.6585], [0.2484, 0.2790, 0.7705], [0.2613, 0.9893, 0.3096], [0.2790, 0.2484, 0.2705], [0.3198, 0.9275, 0.8031], [0.4895, 0.2159, 0.1585], [0.5555, 0.1580, 0.6577], [0.5693, 0.9329, 0.7537], [0.5774, 0.8763, 0.2138], [0.6132, 0.6691, 0.3367], [0.6691, 0.6132, 0.8367], [0.8382, 0.9009, 0.1823], [0.8763, 0.5774, 0.7138], [0.9009, 0.8382, 0.6823], [0.9275, 0.3198, 0.3031], [0.9329, 0.5693, 0.2537], [0.9893, 0.2613, 0.8096], [0.0244, 0.6591, 0.8790], [0.0307, 0.4068, 0.9718], [0.0315, 0.9258, 0.6767], [0.0602, 0.6071, 0.2124], [0.0718, 0.3642, 0.4685], [0.1273, 0.1752, 0.1164], [0.1335, 0.9141, 0.3269], [0.1485, 0.2932, 0.8516], [0.1752, 0.1273, 0.6164], [0.1798, 0.5540, 0.7938], [0.2247, 0.7995, 0.8067], [0.2405, 0.5279, 0.2920], [0.2457, 0.6675, 0.1274], [0.2544, 0.9109, 0.1387], [0.2539, 0.9302, 0.6356], [0.2718, 0.3895, 0.7004], [0.2932, 0.1485, 0.3516], [0.3225, 0.5956, 0.6383], [0.3418, 0.3934, 0.4306], [0.3642, 0.0718, 0.9685], [0.3895, 0.2718, 0.2004], [0.3934, 0.3418, 0.9306], [0.4068, 0.0307, 0.4718], [0.4315, 0.8247, 0.0648], [0.4768, 0.7876, 0.5803], [0.4772, 0.9487, 0.8485], [0.5078, 0.5807, 0.3738], [0.5279, 0.2405, 0.7920], [0.5511, 0.7556, 0.2677], [0.5540, 0.1798, 0.2938], [0.5807, 0.5078, 0.8738], [0.5888, 0.6485, 0.7108], [0.5956, 0.3225, 0.1383], [0.6071, 0.0602, 0.7124], [0.6485, 0.5888, 0.2108], [0.6591, 0.0244, 0.3790], [0.6675, 0.2457, 0.6274], [0.6752, 0.8658, 0.1263], [0.7136, 0.9712, 0.8910], [0.7556, 0.5511, 0.7677], [0.7585, 0.8045, 0.5226], [0.7876, 0.4768, 0.0803], [0.7995, 0.2247, 0.3067], [0.8045, 0.7585, 0.0226], [0.8247, 0.4315, 0.5648], [0.8658, 0.6752, 0.6263], [0.9062, 0.9066, 0.3555], [0.9066, 0.9062, 0.8555], [0.9109, 0.2544, 0.6387], [0.9141, 0.1335, 0.8269], [0.9258, 0.0315, 0.1767], [0.9302, 0.2539, 0.1356], [0.9487, 0.4772, 0.3485], [0.9712, 0.7136, 0.3910]], "n_ef_per_ev_atom": 0.00, "final_energy_ev_per_atom": -9.9381, "raw_formation_energy_ev_per_atom": -2.63}

=====

{"formula": "AlP3O9", "functional": "SCAN", "state": "PBEsol geometry", "lattice": [[-6.9055, 6.9055, 6.9055], [6.9055, -6.9055, 6.9055], [6.9055, 6.9055, -6.9055]], "species": ["Al", "Al", "Al", "Al", "Al", "Al", "Al", "Al", "P", "P", "P", "P", "P", "P", "P", "P", "P", "P", "P", "P", "P", "P", "P", "P", "P", "P", "P", "P", "P", "P", "P", "P", "O", "O", "O", "O", "O", "O", "O", "O", "O", "O", "O", "O", "O", "O", "O", "O", "O", "O", "O", "O", "O", "O", "O", "O", "O", "O", "O", "O", "O", "O", "O", "O", "O", "O", "O", "O", "O", "O", "O", "O", "O", "O", "O", "O", "O", "O", "O", "O", "O", "O", "O", "O", "O", "O", "O", "O", "O", "O", "O", "O", "O", "O", "O", "O", "O", "O", "O", "O", "O", "O", "O", "O"], "frac_coords": [[0.0000, 0.2881, 0.5000], [0.0000, 0.7881, 0.5000], [0.2119, 0.2119, 0.2119], [0.2881, 0.5000, 0.0000], [0.5000, 0.0000, 0.2881], [0.5000, 0.0000, 0.7881], [0.7119, 0.7119, 0.7119], [0.7881, 0.5000, 0.0000], [0.0497, 0.2171, 0.9283], [0.0717, 0.6214, 0.2888], [0.1214, 0.5717, 0.7888], [0.1673, 0.4503, 0.3786], [0.2112, 0.8327, 0.7829], [0.2171, 0.9283, 0.0497], [0.2829, 0.3327, 0.7112], [0.2888, 0.0717, 0.6214], [0.3327, 0.7112, 0.2829], [0.3786, 0.1673, 0.4503], [0.4283, 0.7171, 0.5497], [0.4503, 0.3786, 0.1673], [0.5497, 0.4283, 0.7171], [0.5717, 0.7888, 0.1214], [0.6214, 0.2888, 0.0717], [0.6673, 0.8786, 0.9503], [0.7112, 0.2829, 0.3327], [0.7171, 0.5497, 0.4283], [0.7829, 0.2112, 0.8327], [0.7888, 0.1214, 0.5717], [0.8327, 0.7829, 0.2112], [0.8786, 0.9503, 0.6673], [0.9283, 0.0497, 0.2171], [0.9503, 0.6673, 0.8786], [0.0103, 0.0946, 0.7869], [0.0420, 0.1204, 0.1975], [0.0732, 0.6926, 0.4185], [0.0771, 0.3796, 0.4216], [0.0784, 0.4580, 0.6556], [0.0815, 0.7741, 0.6548], [0.0843, 0.4897, 0.2766], [0.0946, 0.7869, 0.0103], [0.1193, 0.3452, 0.9268], [0.1204, 0.1975, 0.0420], [0.1548, 0.2741, 0.5815], [0.1556, 0.9580, 0.5784], [0.1923, 0.9157, 0.9054], [0.1926, 0.5732, 0.9185], [0.1975, 0.0420, 0.1204], [0.2131, 0.7234, 0.3077], [0.2234, 0.7131, 0.8077], [0.2259, 0.3807, 0.3074], [0.2741, 0.5815, 0.1548], [0.2766, 0.0843, 0.4897], [0.2869, 0.5946, 0.5103], [0.3025, 0.4229, 0.8444], [0.3074, 0.2259, 0.3807], [0.3077, 0.2131, 0.7234], [0.3444, 0.9229, 0.8025], [0.3452, 0.9268, 0.1193], [0.3796, 0.4216, 0.0771], [0.3807, 0.3074, 0.2259], [0.4054, 0.4157, 0.6923], [0.4157, 0.6923, 0.4054], [0.4185, 0.0732, 0.6926], [0.4216, 0.0771, 0.3796], [0.4229, 0.8444, 0.3025], [0.4268, 0.8452, 0.6193], [0.4580, 0.6556, 0.0784], [0.4897, 0.2766, 0.0843], [0.5103, 0.2869, 0.5946], [0.5420, 0.6975, 0.6204], [0.5732, 0.9185, 0.1926], [0.5771, 0.9216, 0.8796], [0.5784, 0.1556, 0.9580], [0.5815, 0.1548, 0.2741], [0.5843, 0.7766, 0.9897], [0.5946, 0.5103, 0.2869], [0.6193, 0.4268, 0.8452], [0.6204, 0.5420, 0.6975], [0.6548, 0.0815, 0.7741], [0.6556, 0.0784, 0.4580], [0.6923, 0.4054, 0.4157], [0.6926, 0.4185, 0.0732], [0.6975, 0.6204, 0.5420], [0.7131, 0.8077, 0.2234], [0.7234, 0.3077, 0.2131], [0.7259, 0.8074, 0.8807], [0.7741, 0.6548, 0.0815], [0.7766, 0.9897, 0.5843], [0.7869, 0.0103, 0.0946], [0.8025, 0.3444, 0.9229], [0.8074, 0.8807, 0.7259], [0.8077, 0.2234, 0.7131], [0.8444, 0.3025, 0.4229], [0.8452, 0.6193, 0.4268], [0.8796, 0.5771, 0.9216], [0.8807, 0.7259, 0.8074], [0.9054, 0.1923, 0.9157], [0.9157, 0.9054, 0.1923], [0.9185, 0.1926, 0.5732], [0.9216, 0.8796, 0.5771], [0.9229, 0.8025, 0.3444], [0.9268, 0.1193, 0.3452], [0.9580, 0.5784, 0.1556], [0.9897, 0.5843, 0.7766]], "n_ef_per_ev_atom": 0.00, "final_energy_ev_per_atom": -9.9377, "raw_formation_energy_ev_per_atom": -2.63}